Here is a relaxed structure of Li3Be5Pt12 from the Alexandria database. Energies are from PBE.

abc: 11.5792 11.5792 11.5792
angles: 109.47 109.47 109.47
Last column: nearest neighbours and their distance in Å.
Fractional positions:
Li: 0.1250 0.2500 0.3750  4 Pt 2.39
Li: 0.1250 0.3750 0.7500  4 Pt 2.39
Li: 0.2500 0.3750 0.1250  4 Pt 2.39
Li: 0.2500 0.8750 0.6250  4 Pt 2.39
Li: 0.3750 0.1250 0.2500  4 Pt 2.39
Li: 0.3750 0.7500 0.1250  4 Pt 2.39
Li: 0.6250 0.2500 0.8750  4 Pt 2.39
Li: 0.6250 0.8750 0.7500  4 Pt 2.39
Li: 0.7500 0.1250 0.3750  4 Pt 2.39
Li: 0.7500 0.6250 0.8750  4 Pt 2.39
Li: 0.8750 0.6250 0.2500  4 Pt 2.39
Li: 0.8750 0.7500 0.6250  4 Pt 2.39
Be: 0.0000 0.0000 0.0000  6 Pt 2.23
Be: 0.0000 0.0000 0.5000  6 Pt 2.23
Be: 0.0000 0.5000 0.0000  6 Pt 2.23
Be: 0.0000 0.5000 0.5000  6 Pt 2.23
Be: 0.1250 0.7500 0.8750  4 Pt 2.13
Be: 0.1250 0.8750 0.2500  4 Pt 2.13
Be: 0.2500 0.1250 0.8750  4 Pt 2.13
Be: 0.2500 0.6250 0.3750  4 Pt 2.13
Be: 0.3750 0.2500 0.6250  4 Pt 2.13
Be: 0.3750 0.6250 0.7500  4 Pt 2.13
Be: 0.5000 0.0000 0.0000  6 Pt 2.23
Be: 0.5000 0.0000 0.5000  6 Pt 2.23
Be: 0.5000 0.5000 0.0000  6 Pt 2.23
Be: 0.5000 0.5000 0.5000  6 Pt 2.23
Be: 0.6250 0.3750 0.2500  4 Pt 2.13
Be: 0.6250 0.7500 0.3750  4 Pt 2.13
Be: 0.7500 0.3750 0.6250  4 Pt 2.13
Be: 0.7500 0.8750 0.1250  4 Pt 2.13
Be: 0.8750 0.1250 0.7500  4 Pt 2.13
Be: 0.8750 0.2500 0.1250  4 Pt 2.13
Pt: 0.0450 0.2209 0.1165  2 Be 2.13-2.23
Pt: 0.0450 0.3241 0.9285  2 Be 2.13-2.23
Pt: 0.0715 0.6165 0.3956  2 Be 2.13-2.23
Pt: 0.0715 0.9550 0.6759  2 Be 2.13-2.23
Pt: 0.1044 0.7209 0.6759  2 Be 2.13-2.23
Pt: 0.1044 0.8835 0.4285  2 Be 2.13-2.23
Pt: 0.1165 0.0450 0.2209  2 Be 2.13-2.23
Pt: 0.1165 0.5715 0.8956  2 Be 2.13-2.23
Pt: 0.1759 0.2209 0.6044  2 Be 2.13-2.23
Pt: 0.1759 0.4550 0.5715  2 Be 2.13-2.23
Pt: 0.2209 0.1165 0.0450  2 Be 2.13-2.23
Pt: 0.2209 0.6044 0.1759  2 Be 2.13-2.23
Pt: 0.2791 0.3241 0.8956  2 Be 2.13-2.23
Pt: 0.2791 0.4550 0.3835  2 Be 2.13-2.23
Pt: 0.3241 0.8956 0.2791  2 Be 2.13-2.23
Pt: 0.3241 0.9285 0.0450  2 Be 2.13-2.23
Pt: 0.3835 0.2791 0.4550  2 Be 2.13-2.23
Pt: 0.3835 0.6044 0.9285  2 Be 2.13-2.23
Pt: 0.3956 0.0715 0.6165  2 Be 2.13-2.23
Pt: 0.3956 0.8241 0.7791  2 Be 2.13-2.23
Pt: 0.4285 0.1044 0.8835  2 Be 2.13-2.23
Pt: 0.4285 0.8241 0.5450  2 Be 2.13-2.23
Pt: 0.4550 0.3835 0.2791  2 Be 2.13-2.23
Pt: 0.4550 0.5715 0.1759  2 Be 2.13-2.23
Pt: 0.5450 0.4285 0.8241  2 Be 2.13-2.23
Pt: 0.5450 0.6165 0.7209  2 Be 2.13-2.23
Pt: 0.5715 0.1759 0.4550  2 Be 2.13-2.23
Pt: 0.5715 0.8956 0.1165  2 Be 2.13-2.23
Pt: 0.6044 0.1759 0.2209  2 Be 2.13-2.23
Pt: 0.6044 0.9285 0.3835  2 Be 2.13-2.23
Pt: 0.6165 0.3956 0.0715  2 Be 2.13-2.23
Pt: 0.6165 0.7209 0.5450  2 Be 2.13-2.23
Pt: 0.6759 0.0715 0.9550  2 Be 2.13-2.23
Pt: 0.6759 0.1044 0.7209  2 Be 2.13-2.23
Pt: 0.7209 0.5450 0.6165  2 Be 2.13-2.23
Pt: 0.7209 0.6759 0.1044  2 Be 2.13-2.23
Pt: 0.7791 0.3956 0.8241  2 Be 2.13-2.23
Pt: 0.7791 0.8835 0.9550  2 Be 2.13-2.23
Pt: 0.8241 0.5450 0.4285  2 Be 2.13-2.23
Pt: 0.8241 0.7791 0.3956  2 Be 2.13-2.23
Pt: 0.8835 0.4285 0.1044  2 Be 2.13-2.23
Pt: 0.8835 0.9550 0.7791  2 Be 2.13-2.23
Pt: 0.8956 0.1165 0.5715  2 Be 2.13-2.23
Pt: 0.8956 0.2791 0.3241  2 Be 2.13-2.23
Pt: 0.9285 0.0450 0.3241  2 Be 2.13-2.23
Pt: 0.9285 0.3835 0.6044  2 Be 2.13-2.23
Pt: 0.9550 0.6759 0.0715  2 Be 2.13-2.23
Pt: 0.9550 0.7791 0.8835  2 Be 2.13-2.23

Output
The value obtained for the formation energy from the elements is -0.04 eV/atom. Its space group is Ia-3d, No. 230. The calculation puts the total magnetic moment at 0.000 μB/atom. As for the total DFT energy (no corrections): -390.87 eV for the cell shown.